VASP calculation (PBE-GGA) on Dy3ScCu2 after structural relaxation.

Output
Space group: Pmc2_1, No. 26
E: -4.82 eV/atom
Energy of formation from the pure elements: -0.103 eV per atom
Crystal system: orthorhombic

Structure (POSCAR):
```
Dy3ScCu2
1.0
3.5765 0.0000 0.0000
0.0000 9.4390 0.0000
0.0000 0.0000 8.5276
Dy Sc Cu
6 2 4
direct
0.0000 0.0814 0.0000
0.0000 0.2875 0.3387
0.0000 0.7125 0.8387
0.0000 0.9186 0.5000
0.5000 0.2228 0.6758
0.5000 0.7772 0.1758
0.5000 0.4296 0.0103
0.5000 0.5704 0.5103
0.0000 0.4393 0.7254
0.0000 0.5607 0.2254
0.5000 0.0667 0.2825
0.5000 0.9333 0.7825
```